Below is a geometry-optimized AlZnPb structure, with properties calculated at the PBE level.

POSCAR file:
```
AlZnPb
1.0
3.5106 0.0000 0.0000
0.0000 3.5106 0.0000
0.0000 0.0000 10.7912
Al Zn Pb
2 2 2
Cartesian
0.0000 0.0000 0.0000
1.7553 1.7553 5.3956
0.0000 0.0000 6.5613
1.7553 1.7553 1.1657
0.0000 0.0000 3.2707
1.7553 1.7553 8.6663
```

* energy above the lowest structure with this stoichiometry: 0 meV per atom
* formation enthalpy at 0 K: 0.20 eV/atom